[1]
DFT (PBE) results for crystalline ZnAs2BrF at its relaxed geometry.

abc: 4.8476 4.8476 5.0526
angles: 90.00 90.00 90.00
Closest atoms and distances in Å follow each position.
Space group P4/mmm (No. 123)
Symmetry-distinct sites (fractional):
Zn: 0.0000 0.0000 0.0000  4 As 2.42, 2 Br 2.53
As: 0.0000 0.5000 0.0000  2 Zn 2.42
Br: 0.0000 0.0000 0.5000  2 Zn 2.53
F: 0.5000 0.5000 0.5000  4 Br 3.43, 8 As 3.50

## Properties
relative energy among the computed polymorphs	110	meV per atom
energy	-2.477	eV/atom



[2]
DFT (PBE) results for crystalline ZnAsBr2F at its relaxed geometry.

abc: 5.6751 5.6751 3.8687
angles: 90.00 90.00 90.00
Closest atoms and distances in Å follow each position.
Space group P4/mmm (No. 123)
Symmetry-distinct sites (fractional):
Zn: 0.0000 0.0000 0.0000  8 Br 3.43
As: 0.5000 0.5000 0.0000  2 F 1.93
Br: 0.0000 0.5000 0.5000  2 F 2.84
F: 0.5000 0.5000 0.5000  2 As 1.93

## Properties
relative energy among the computed polymorphs	0	meV per atom
energy	-2.231	eV/atom



[3]
DFT (PBE) results for crystalline ZnAs2BrF at its relaxed geometry.

abc: 4.2906 4.2906 6.0959
angles: 90.00 90.00 90.00
Closest atoms and distances in Å follow each position.
Space group P4/mmm (No. 123)
Symmetry-distinct sites (fractional):
Zn: 0.0000 0.0000 0.0000  4 Br 3.03
As: 0.0000 0.5000 0.5000  2 F 2.15
Br: 0.5000 0.5000 0.0000  4 Zn 3.03, 2 F 3.05
F: 0.5000 0.5000 0.5000  4 As 2.15

## Properties
relative energy among the computed polymorphs	0	meV per atom
energy	-2.587	eV/atom



Number 1: N(E_F) 3.7 states/eV/f.u., E_form (uncorrected) 346.4 meV/atom. Number 2: N(E_F) 3.0 states/eV/f.u., E_form (uncorrected) -3.3 meV/atom. Number 3: N(E_F) 3.4 states/eV/f.u., E_form (uncorrected) 236.8 meV/atom.